No. 1
# RbWSeBr2

An optimized crystal structure of RbWSeBr2 (GGA-PBE, the Alexandria database).

a = 6.135 Å, b = 6.135 Å, c = 6.148 Å
α = 90.00°, β = 90.00°, γ = 90.00°
Space group P4/mmm (No. 123)
Inequivalent atoms, fractional coordinates:
Rb (0.000, 0.000, 0.000)
W (0.500, 0.500, 0.500)
Se (0.000, 0.000, 0.500)
Br (0.000, 0.500, 0.000)

Computed properties:
- E above lowest polymorph (meV per atom) = 1821.7
- total moment (μB per formula unit) = 2.97
- uncorrected formation energy (eV/atom) = 1.428
- mass density (kg/m³) = 3646

=====

No. 2
# Na8ZnSb2

An optimized crystal structure of Na8ZnSb2 (GGA-PBE, the Alexandria database).

a = 5.173 Å, b = 8.867 Å, c = 13.920 Å
α = 90.00°, β = 90.00°, γ = 90.00°
Space group Immm (No. 71)
Inequivalent atoms, fractional coordinates:
Na (0.000, 0.000, 0.145)
Na (0.000, 0.211, 0.338)
Na (0.000, 0.318, 0.000)
Zn (0.000, 0.500, 0.500)
Sb (0.000, 0.500, 0.200)

Computed properties:
- total moment (μB per formula unit) = 0.54
- uncorrected formation energy (eV/atom) = -0.238
- mass density (kg/m³) = 2564

=====

No. 3
# AlTc3Pb

An optimized crystal structure of AlTc3Pb (GGA-PBE, the Alexandria database).

a = 4.557 Å, b = 4.557 Å, c = 4.557 Å
α = 90.00°, β = 90.00°, γ = 90.00°
Space group Pm-3m (No. 221)
Inequivalent atoms, fractional coordinates:
Al (0.000, 0.000, 0.000)
Tc (0.000, 0.000, 0.500)
Pb (0.500, 0.500, 0.500)

Computed properties:
- E above lowest polymorph (meV per atom) = 0.0
- total moment (μB per formula unit) = 3.02
- ΔE_f (kJ/mol of formula units) = 569
- mass density (kg/m³) = 9267

=====

No. 4
# RbCuO

An optimized crystal structure of RbCuO (GGA-PBE, the Alexandria database).

a = 11.029 Å, b = 5.407 Å, c = 5.057 Å
α = 90.00°, β = 90.00°, γ = 90.00°
Space group Pca2_1 (No. 29)
Inequivalent atoms, fractional coordinates:
Rb (0.139, 0.036, 0.000)
Cu (0.000, 0.500, 0.253)
O (0.060, 0.283, 0.503)

Computed properties:
- total moment (μB per formula unit) = 0.00
- uncorrected formation energy (eV/atom) = -0.853
- mass density (kg/m³) = 3635

=====

No. 5
# Tb8Co2Pb

An optimized crystal structure of Tb8Co2Pb (GGA-PBE, the Alexandria database).

a = 8.627 Å, b = 13.271 Å, c = 5.372 Å
α = 90.00°, β = 103.37°, γ = 90.00°
Space group C2/m (No. 12)
Inequivalent atoms, fractional coordinates:
Tb (0.000, 0.249, 0.000)
Tb (0.106, 0.000, 0.798)
Tb (0.202, 0.369, 0.570)
Co (0.000, 0.196, 0.500)
Pb (0.000, 0.500, 0.000)

Computed properties:
- total moment (μB per formula unit) = 0.00
- ΔE_f (kJ/mol of formula units) = -141
- mass density (kg/m³) = 8861

=====

No. 6
# LuZrAl4

An optimized crystal structure of LuZrAl4 (GGA-PBE, the Alexandria database).

a = 7.635 Å, b = 7.635 Å, c = 7.635 Å
α = 90.00°, β = 90.00°, γ = 90.00°
Space group F-43m (No. 216)
Inequivalent atoms, fractional coordinates:
Lu (0.000, 0.000, 0.000)
Zr (0.250, 0.250, 0.750)
Al (0.125, 0.125, 0.375)

Computed properties:
- total moment (μB per formula unit) = 0.00
- ΔE_f (kJ/mol of formula units) = -294
- mass density (kg/m³) = 5583